! RbLiI3 (PBE, relaxed); values from VASP
! V in Å³/cell: 324.4
! Energy relative to the lowest polymorph listed for this composition in meV per atom: 578.1
! Calculated total energy in eV/atom: -1.938
! DOS at the Fermi energy in states/eV per atom: 3.224
&SYSTEM
  ibrav = 0, nat = 5, ntyp = 3
/
ATOMIC_SPECIES
I 126.90 I.upf
Rb 85.47 Rb.upf
Li 6.94 Li.upf
CELL_PARAMETERS angstrom
-6.488 1.864 1.282
1.118 -0.742 6.739
1.966 6.572 0.397
ATOMIC_POSITIONS crystal
I 0.000 0.500 0.000
I 0.000 0.000 0.500
I 0.500 0.000 0.000
Rb 0.000 0.000 0.000
Li 0.500 0.500 0.500



! RbLiI3 (PBE, relaxed); values from VASP
! V in Å³/cell: 195.3
! Energy relative to the lowest polymorph listed for this composition in meV per atom: 83.5
! Calculated total energy in eV/atom: -2.432
! DOS at the Fermi energy in states/eV per atom: 1.739
&SYSTEM
  ibrav = 0, nat = 5, ntyp = 3
/
ATOMIC_SPECIES
I 126.90 I.upf
Rb 85.47 Rb.upf
Li 6.94 Li.upf
CELL_PARAMETERS angstrom
-4.252 -3.947 -0.110
1.814 -2.096 5.097
-3.507 3.701 2.769
ATOMIC_POSITIONS crystal
I 0.000 0.500 0.000
I 0.000 0.000 0.500
I 0.500 0.000 0.000
Rb 0.500 0.500 0.500
Li 0.000 0.000 0.000



! RbLiI3 (PBE, relaxed); values from VASP
! V in Å³/cell: 460.8
! Energy relative to the lowest polymorph listed for this composition in meV per atom: 0.0
! Calculated total energy in eV/atom: -2.516
! DOS at the Fermi energy in states/eV per atom: 0.106
&SYSTEM
  ibrav = 0, nat = 10, ntyp = 3
/
ATOMIC_SPECIES
Rb 85.47 Rb.upf
Li 6.94 Li.upf
I 126.90 I.upf
CELL_PARAMETERS angstrom
6.263 -0.393 -1.154
-3.669 6.028 -1.552
0.924 1.277 12.007
ATOMIC_POSITIONS crystal
Rb 0.662 0.162 0.324
Rb 0.338 0.838 0.676
Li 0.886 0.639 0.000
Li 0.114 0.361 0.000
I 0.283 0.055 0.000
I 0.903 0.403 0.806
I 0.097 0.597 0.194
I 0.250 0.250 0.501
I 0.717 0.945 0.000
I 0.750 0.750 0.499



! Rb3Li5I12 (PBE, relaxed); values from VASP
! V in Å³/cell: 3298.6
! Calculated total energy in eV/atom: -2.437
! DOS at the Fermi energy in states/eV per atom: 0.851
&SYSTEM
  ibrav = 0, nat = 80, ntyp = 3
/
ATOMIC_SPECIES
Rb 85.47 Rb.upf
Li 6.94 Li.upf
I 126.90 I.upf
CELL_PARAMETERS angstrom
16.242 0.000 0.000
-5.414 15.313 0.000
-5.414 -7.657 13.262
ATOMIC_POSITIONS crystal
Rb 0.750 0.375 0.125
Rb 0.875 0.750 0.125
Rb 0.375 0.750 0.625
Rb 0.250 0.125 0.375
Rb 0.875 0.125 0.250
Rb 0.375 0.625 0.250
Rb 0.625 0.375 0.750
Rb 0.125 0.875 0.750
Rb 0.750 0.875 0.625
Rb 0.625 0.250 0.375
Rb 0.125 0.250 0.875
Rb 0.250 0.625 0.875
Li 0.125 0.375 0.250
Li 0.000 0.500 0.000
Li 0.000 0.000 0.000
Li 0.375 0.250 0.125
Li 0.500 0.000 0.500
Li 0.500 0.500 0.000
Li 0.125 0.750 0.375
Li 0.750 0.125 0.875
Li 0.750 0.625 0.375
Li 0.375 0.125 0.750
Li 0.625 0.875 0.250
Li 0.500 0.500 0.500
Li 0.500 0.000 0.000
Li 0.000 0.000 0.500
Li 0.250 0.375 0.625
Li 0.250 0.875 0.125
Li 0.000 0.500 0.500
Li 0.875 0.250 0.625
Li 0.625 0.750 0.875
Li 0.875 0.625 0.750
I 0.703 0.093 0.015
I 0.312 0.515 0.422
I 0.985 0.407 0.297
I 0.515 0.203 0.093
I 0.610 0.703 0.688
I 0.985 0.578 0.188
I 0.312 0.797 0.390
I 0.078 0.890 0.093
I 0.578 0.985 0.688
I 0.703 0.610 0.188
I 0.797 0.485 0.407
I 0.812 0.922 0.015
I 0.093 0.703 0.515
I 0.407 0.422 0.110
I 0.110 0.922 0.407
I 0.390 0.093 0.578
I 0.110 0.188 0.203
I 0.485 0.688 0.078
I 0.812 0.890 0.297
I 0.093 0.390 0.078
I 0.407 0.985 0.797
I 0.578 0.593 0.390
I 0.922 0.812 0.515
I 0.797 0.312 0.890
I 0.422 0.407 0.610
I 0.078 0.188 0.485
I 0.203 0.688 0.110
I 0.188 0.110 0.703
I 0.593 0.015 0.203
I 0.907 0.610 0.922
I 0.515 0.312 0.922
I 0.610 0.907 0.422
I 0.890 0.812 0.797
I 0.890 0.078 0.593
I 0.907 0.297 0.485
I 0.188 0.078 0.985
I 0.593 0.578 0.890
I 0.422 0.015 0.312
I 0.297 0.390 0.812
I 0.203 0.515 0.593
I 0.922 0.110 0.907
I 0.688 0.203 0.610
I 0.485 0.797 0.907
I 0.015 0.422 0.812
I 0.390 0.297 0.312
I 0.015 0.593 0.703
I 0.688 0.485 0.578
I 0.297 0.907 0.985



! RbLi2I (PBE, relaxed); values from VASP
! V in Å³/cell: 151.4
! Energy relative to the lowest polymorph listed for this composition in meV per atom: 216.4
! Calculated total energy in eV/atom: -1.707
! DOS at the Fermi energy in states/eV per atom: 0.644
&SYSTEM
  ibrav = 0, nat = 4, ntyp = 3
/
ATOMIC_SPECIES
I 126.90 I.upf
Rb 85.47 Rb.upf
Li 6.94 Li.upf
CELL_PARAMETERS angstrom
0.000 4.230 4.230
4.230 0.000 4.230
4.230 4.230 0.000
ATOMIC_POSITIONS crystal
I 0.500 0.500 0.500
Rb 0.000 0.000 0.000
Li 0.250 0.250 0.250
Li 0.750 0.750 0.750



! Rb2LiI (PBE, relaxed); values from VASP
! V in Å³/cell: 524.0
! Energy relative to the lowest polymorph listed for this composition in meV per atom: 111.6
! Calculated total energy in eV/atom: -1.823
! DOS at the Fermi energy in states/eV per atom: 0.005
&SYSTEM
  ibrav = 0, nat = 8, ntyp = 3
/
ATOMIC_SPECIES
I 126.90 I.upf
Rb 85.47 Rb.upf
Li 6.94 Li.upf
CELL_PARAMETERS angstrom
10.037 0.000 0.000
0.000 10.037 0.000
5.018 5.018 5.202
ATOMIC_POSITIONS crystal
I 0.000 0.000 0.000
I 0.750 0.250 0.500
Rb 0.657 0.125 0.250
Rb 0.093 0.625 0.250
Rb 0.375 0.343 0.750
Rb 0.875 0.907 0.750
Li 0.500 0.500 0.000
Li 0.250 0.750 0.500



! Rb2LiI (PBE, relaxed); values from VASP
! V in Å³/cell: 195.6
! Energy relative to the lowest polymorph listed for this composition in meV per atom: 0.0
! Calculated total energy in eV/atom: -1.935
! DOS at the Fermi energy in states/eV per atom: 0.406
&SYSTEM
  ibrav = 0, nat = 4, ntyp = 3
/
ATOMIC_SPECIES
I 126.90 I.upf
Rb 85.47 Rb.upf
Li 6.94 Li.upf
CELL_PARAMETERS angstrom
4.561 0.000 0.000
0.000 4.561 0.000
0.000 0.000 9.402
ATOMIC_POSITIONS crystal
I 0.500 0.500 0.000
Rb 0.000 0.000 0.771
Rb 0.000 0.000 0.229
Li 0.500 0.500 0.500



! Rb2LiI7 (PBE, relaxed); values from VASP
! V in Å³/cell: 482.9
! Calculated total energy in eV/atom: -2.185
! DOS at the Fermi energy in states/eV per atom: 0.000
&SYSTEM
  ibrav = 0, nat = 10, ntyp = 3
/
ATOMIC_SPECIES
I 126.90 I.upf
Rb 85.47 Rb.upf
Li 6.94 Li.upf
CELL_PARAMETERS angstrom
-6.560 0.561 5.542
5.156 -2.628 6.369
0.894 5.160 7.219
ATOMIC_POSITIONS crystal
I 0.000 0.000 0.000
I 0.298 0.298 0.404
I 0.702 0.702 0.596
I 0.241 0.241 0.000
I 0.759 0.759 0.000
I 0.759 0.241 0.000
I 0.241 0.759 0.000
Rb 0.750 0.250 0.500
Rb 0.250 0.750 0.500
Li 0.500 0.500 0.000